1.
A plane-wave DFT calculation with GGA-PBE was carried out for crystalline PuSbTe2N at its relaxed geometry.

Cell: 4.0849 4.0849 16.1776 Å, 90.00 90.00 90.00°
Positions (direct):
1 Pu 0.2500 0.2500 0.0643
2 Pu 0.7500 0.7500 0.9357
3 Sb 0.2500 0.2500 0.6510
4 Sb 0.7500 0.7500 0.3490
5 Te 0.2500 0.2500 0.4017
6 Te 0.2500 0.2500 0.8270
7 Te 0.7500 0.7500 0.1730
8 Te 0.7500 0.7500 0.5983
9 N 0.2500 0.7500 0.0000
10 N 0.7500 0.2500 0.0000

The uncorrected formation energy comes out at -0.617 eV per atom. The calculation puts the final energy at -36.1 eV/f.u. For the density of states at the Fermi level, the calculation gives 6.46 states/eV/f.u.

2.
A plane-wave DFT calculation with GGA-PBE was carried out for crystalline PuThSb2N at its relaxed geometry.

Cell: 4.0766 4.0766 14.7356 Å, 90.00 90.00 90.00°
Positions (direct):
1 Pu 0.2500 0.2500 0.0530
2 Pu 0.7500 0.7500 0.9470
3 Th 0.2500 0.2500 0.5783
4 Th 0.7500 0.7500 0.4217
5 Sb 0.2500 0.2500 0.2693
6 Sb 0.2500 0.2500 0.8388
7 Sb 0.7500 0.7500 0.1612
8 Sb 0.7500 0.7500 0.7307
9 N 0.2500 0.7500 0.5000
10 N 0.7500 0.2500 0.5000

The uncorrected formation energy comes out at -0.839 eV per atom. The calculation puts the final energy at -42.5 eV/f.u. For the density of states at the Fermi level, the calculation gives 8.64 states/eV/f.u.

3.
A plane-wave DFT calculation with GGA-PBE was carried out for crystalline Pu4Th2Sb3N2 at its relaxed geometry.

Cell: 13.6317 13.6317 13.6317 Å, 160.51 160.51 27.71°
Positions (direct):
1 Pu 0.0840 0.5840 0.5000
2 Pu 0.4160 0.9160 0.5000
3 Pu 0.5840 0.0840 0.5000
4 Pu 0.9160 0.4160 0.5000
5 Th 0.1957 0.1957 0.0000
6 Th 0.8043 0.8043 0.0000
7 Sb 0.3225 0.3225 0.0000
8 Sb 0.5000 0.5000 0.0000
9 Sb 0.6775 0.6775 0.0000
10 N 0.1083 0.1083 0.0000
11 N 0.8917 0.8917 0.0000

The uncorrected formation energy comes out at -0.909 eV per atom. The calculation puts the final energy at -111.2 eV/f.u. For the density of states at the Fermi level, the calculation gives 25.69 states/eV/f.u.

4.
A plane-wave DFT calculation with GGA-PBE was carried out for crystalline PuTh2SbN5 at its relaxed geometry.

Cell: 7.2806 7.2806 12.1909 Å, 90.00 90.00 150.20°
Positions (direct):
1 Pu 0.1635 0.8365 0.5000
2 Pu 0.8365 0.1635 0.0000
3 Th 0.1178 0.8822 0.0541
4 Th 0.2343 0.7657 0.7646
5 Th 0.7657 0.2343 0.2646
6 Th 0.8822 0.1178 0.5541
7 Sb 0.4825 0.5175 0.7963
8 Sb 0.5175 0.4825 0.2963
9 N 0.0481 0.9519 0.5794
10 N 0.2693 0.7307 0.1405
11 N 0.2944 0.7056 0.4237
12 N 0.3619 0.6381 0.8944
13 N 0.3861 0.6139 0.6675
14 N 0.6139 0.3861 0.1675
15 N 0.6381 0.3619 0.3944
16 N 0.7056 0.2944 0.9237
17 N 0.7307 0.2693 0.6405
18 N 0.9519 0.0481 0.0794

The uncorrected formation energy comes out at -0.915 eV per atom. The calculation puts the final energy at -83.2 eV/f.u. For the density of states at the Fermi level, the calculation gives 4.90 states/eV/f.u.

5.
A plane-wave DFT calculation with GGA-PBE was carried out for crystalline Pu2Th4Sb3N2 at its relaxed geometry.

Cell: 13.3948 13.3948 13.3948 Å, 159.34 159.34 29.38°
Positions (direct):
1 Pu 0.1970 0.1970 0.0000
2 Pu 0.8030 0.8030 0.0000
3 Th 0.0851 0.5851 0.5000
4 Th 0.4149 0.9149 0.5000
5 Th 0.5851 0.0851 0.5000
6 Th 0.9149 0.4149 0.5000
7 Sb 0.3226 0.3226 0.0000
8 Sb 0.5000 0.5000 0.0000
9 Sb 0.6774 0.6774 0.0000
10 N 0.1052 0.1052 0.0000
11 N 0.8948 0.8948 0.0000

The uncorrected formation energy comes out at -0.875 eV per atom. The calculation puts the final energy at -97.0 eV/f.u. For the density of states at the Fermi level, the calculation gives 31.81 states/eV/f.u.

6.
A plane-wave DFT calculation with GGA-PBE was carried out for crystalline PuTiSb2N at its relaxed geometry.

Cell: 3.8166 3.8166 13.9652 Å, 90.00 90.00 90.00°
Positions (direct):
1 Pu 0.2500 0.2500 0.0808
2 Pu 0.7500 0.7500 0.9192
3 Ti 0.2500 0.2500 0.5665
4 Ti 0.7500 0.7500 0.4335
5 Sb 0.2500 0.2500 0.3653
6 Sb 0.2500 0.2500 0.7741
7 Sb 0.7500 0.7500 0.2259
8 Sb 0.7500 0.7500 0.6347
9 N 0.2500 0.7500 0.0000
10 N 0.7500 0.2500 0.0000

The uncorrected formation energy comes out at -0.691 eV per atom. The calculation puts the final energy at -42.3 eV/f.u. For the density of states at the Fermi level, the calculation gives 8.18 states/eV/f.u.

Number 1: calculated volume 270 Å³/cell. Number 2: calculated volume 245 Å³/cell. Number 3: calculated volume 282 Å³/cell. Number 4: calculated volume 321 Å³/cell. Number 5: calculated volume 299 Å³/cell. Number 6: calculated volume 203 Å³/cell.